(1)
A geometry-optimized ErMgCl structure. Source: Alexandria via LeMat-Bulk, functional GGA-PBE.

```
ErMgCl
1.0
17.861 0.000 0.000
0.000 1.719 2.981
0.000 -1.719 2.981
Er Mg Cl
2 2 2
Direct
0.156 0.000 0.000
0.844 0.000 0.000
0.000 0.665 0.665
0.500 0.883 0.883
0.413 0.550 0.550
0.587 0.550 0.550
```

## Properties
space group = Amm2
DOS(E_F) = 0.925 states/eV/atom
raw total energy = -3.236 eV/atom

***

(2)
A geometry-optimized Cs3Cd5Hg12 structure. Source: Alexandria via LeMat-Bulk, functional GGA-PBE.

```
Cs3Cd5Hg12
1.0
-9.452 9.452 9.452
9.452 -9.452 9.452
9.452 9.452 -9.452
Cs Cd Hg
12 20 48
Direct
0.125 0.250 0.375
0.125 0.375 0.750
0.250 0.375 0.125
0.250 0.875 0.625
0.375 0.125 0.250
0.375 0.750 0.125
0.625 0.250 0.875
0.625 0.875 0.750
0.750 0.125 0.375
0.750 0.625 0.875
0.875 0.625 0.250
0.875 0.750 0.625
0.000 0.000 0.000
0.000 0.000 0.500
0.000 0.500 0.000
0.000 0.500 0.500
0.125 0.750 0.875
0.125 0.875 0.250
0.250 0.125 0.875
0.250 0.625 0.375
0.375 0.250 0.625
0.375 0.625 0.750
0.500 0.000 0.000
0.500 0.000 0.500
0.500 0.500 0.000
0.500 0.500 0.500
0.625 0.375 0.250
0.625 0.750 0.375
0.750 0.375 0.625
0.750 0.875 0.125
0.875 0.125 0.750
0.875 0.250 0.125
0.011 0.694 0.057
0.011 0.817 0.953
0.047 0.557 0.864
0.047 0.989 0.183
0.057 0.011 0.694
0.057 0.547 0.364
0.136 0.683 0.694
0.136 0.953 0.443
0.183 0.047 0.989
0.183 0.636 0.194
0.194 0.183 0.636
0.194 0.511 0.557
0.306 0.864 0.317
0.306 0.943 0.989
0.317 0.306 0.864
0.317 0.511 0.453
0.364 0.057 0.547
0.364 0.806 0.817
0.443 0.136 0.953
0.443 0.806 0.489
0.453 0.317 0.511
0.453 0.636 0.943
0.489 0.443 0.806
0.489 0.547 0.683
0.511 0.453 0.317
0.511 0.557 0.194
0.547 0.364 0.057
0.547 0.683 0.489
0.557 0.194 0.511
0.557 0.864 0.047
0.636 0.194 0.183
0.636 0.943 0.453
0.683 0.489 0.547
0.683 0.694 0.136
0.694 0.057 0.011
0.694 0.136 0.683
0.806 0.489 0.443
0.806 0.817 0.364
0.817 0.364 0.806
0.817 0.953 0.011
0.864 0.047 0.557
0.864 0.317 0.306
0.943 0.453 0.636
0.943 0.989 0.306
0.953 0.011 0.817
0.953 0.443 0.136
0.989 0.183 0.047
0.989 0.306 0.943
```

## Properties
space group = Ia-3d
DOS(E_F) = 0.465 states/eV/atom
raw total energy = -0.580 eV/atom

***

(3)
A geometry-optimized CoRe2Si structure. Source: Alexandria via LeMat-Bulk, functional GGA-PBE.

```
CoRe2Si
1.0
2.770 0.000 0.000
0.000 3.694 0.000
0.000 0.000 5.213
Co Re Si
1 2 1
Direct
0.000 0.000 0.000
0.000 0.000 0.511
0.500 0.500 0.251
0.500 0.500 0.776
```

## Properties
space group = Pmm2
DOS(E_F) = 1.155 states/eV/atom
raw total energy = -9.353 eV/atom

***

(4)
A geometry-optimized Th2Co3C2 structure. Source: Alexandria via LeMat-Bulk, functional GGA-PBE.

```
Th2Co3C2
1.0
4.731 -1.777 0.000
4.731 1.777 0.000
-2.494 0.000 6.152
Th Co C
2 3 2
Direct
0.106 0.106 0.295
0.894 0.894 0.705
0.325 0.325 0.108
0.500 0.500 0.500
0.675 0.675 0.892
0.216 0.216 0.795
0.784 0.784 0.205
```

## Properties
space group = C2/m
DOS(E_F) = 0.536 states/eV/atom
raw total energy = -7.814 eV/atom

***

(5)
A geometry-optimized Rb2LaGa2O6 structure. Source: Alexandria via LeMat-Bulk, functional GGA-PBE.

```
Rb2LaGa2O6
1.0
3.145 1.816 6.494
-3.145 1.816 6.494
0.000 -3.631 6.494
Rb La Ga O
2 1 2 6
Direct
0.203 0.203 0.203
0.797 0.797 0.797
0.000 0.000 0.000
0.412 0.412 0.412
0.588 0.588 0.588
0.249 0.249 0.741
0.249 0.741 0.249
0.259 0.751 0.751
0.741 0.249 0.249
0.751 0.259 0.751
0.751 0.751 0.259
```

## Properties
space group = R-3m
DOS(E_F) = 0.797 states/eV/atom
raw total energy = -5.758 eV/atom

***

(6)
A geometry-optimized TbH6Ir2Pb structure. Source: Alexandria via LeMat-Bulk, functional GGA-PBE.

```
TbH6Ir2Pb
1.0
4.125 -4.888 0.000
4.125 4.888 0.000
-1.228 0.000 5.489
Tb H Ir Pb
2 12 4 2
Direct
0.141 0.859 0.750
0.859 0.141 0.250
0.056 0.566 0.403
0.173 0.179 0.558
0.179 0.173 0.058
0.252 0.524 0.807
0.434 0.944 0.097
0.476 0.748 0.693
0.524 0.252 0.307
0.566 0.056 0.903
0.748 0.476 0.193
0.821 0.827 0.942
0.827 0.821 0.442
0.944 0.434 0.597
0.058 0.316 0.804
0.316 0.058 0.304
0.684 0.942 0.696
0.942 0.684 0.196
0.390 0.610 0.250
0.610 0.390 0.750
```

## Properties
space group = C2/c
DOS(E_F) = 0.274 states/eV/atom
raw total energy = -4.799 eV/atom